# 1
Computed, not measured: KRb2Ba4Sr2 after structural relaxation at the PBE level of DFT.

Cell lengths 4.4806, 4.4806, 34.7948 Å; angles 90.00, 90.00, 120.00 degrees
Space group P3m1 (No. 156)
Asymmetric unit:
K  0.0000  0.0000  0.0000
Rb  0.6667  0.3333  0.1205
Rb  0.6667  0.3333  0.8801
Ba  0.0000  0.0000  0.2371
Ba  0.0000  0.0000  0.4423
Ba  0.6667  0.3333  0.5482
Ba  0.6667  0.3333  0.7538
Sr  0.0000  0.0000  0.6518
Sr  0.6667  0.3333  0.3391

Properties
ΔH_f (0 K) = 53 meV/atom

---

# 2
Computed, not measured: K2Rb4BaSr2 after structural relaxation at the PBE level of DFT.

Cell lengths 4.5864, 4.5864, 36.0841 Å; angles 90.00, 90.00, 120.00 degrees
Space group P3m1 (No. 156)
Asymmetric unit:
K  0.0000  0.0000  0.0000
K  0.3333  0.6667  0.3455
Rb  0.0000  0.0000  0.2320
Rb  0.0000  0.0000  0.4592
Rb  0.3333  0.6667  0.1133
Rb  0.3333  0.6667  0.8862
Ba  0.3333  0.6667  0.6790
Sr  0.0000  0.0000  0.5810
Sr  0.0000  0.0000  0.7778

Properties
ΔH_f (0 K) = 65 meV/atom

---

# 3
Computed, not measured: KRb2BaTe after structural relaxation at the PBE level of DFT.

Cell lengths 7.246, 7.246, 6.751 Å; angles 90.00, 90.00, 90.00 degrees
Space group P4/mmm (No. 123)
Asymmetric unit:
K  0.000  0.000  0.000
Rb  0.000  0.500  0.500
Ba  0.500  0.500  0.000
Te  0.500  0.500  0.500

Properties
E_form (uncorrected) = -526 meV per atom

---

# 4
Computed, not measured: K2RbBaTe after structural relaxation at the PBE level of DFT.

Cell lengths 7.007, 7.007, 6.762 Å; angles 90.00, 90.00, 90.00 degrees
Space group P4/mmm (No. 123)
Asymmetric unit:
K  0.000  0.500  0.000
Rb  0.000  0.000  0.500
Ba  0.500  0.500  0.500
Te  0.500  0.500  0.000

Properties
E_form (uncorrected) = -527 meV per atom

---

# 5
Computed, not measured: K2RbBaTl after structural relaxation at the PBE level of DFT.

Cell lengths 7.078, 7.078, 6.769 Å; angles 90.00, 90.00, 90.00 degrees
Space group P4/mmm (No. 123)
Asymmetric unit:
K  0.000  0.500  0.000
Rb  0.000  0.000  0.500
Ba  0.500  0.500  0.500
Tl  0.500  0.500  0.000

Properties
ΔH_f (0 K) = 17 meV/atom

---

# 6
Computed, not measured: K3BaRe after structural relaxation at the PBE level of DFT.

Cell lengths 6.593, 6.593, 6.593 Å; angles 90.00, 90.00, 90.00 degrees
Space group Pm-3m (No. 221)
Asymmetric unit:
K  0.000  0.000  0.500
Ba  0.500  0.500  0.500
Re  0.000  0.000  0.000

Properties
E above lowest polymorph = 0.000 eV per atom
ΔH_f (0 K) = 1357 meV/atom

---

# 7
Computed, not measured: KBa4Re after structural relaxation at the PBE level of DFT.

Cell lengths 10.651, 10.651, 10.651 Å; angles 90.00, 90.00, 90.00 degrees
Space group F-43m (No. 216)
Asymmetric unit:
K  0.000  0.000  0.000
Ba  0.123  0.123  0.377
Re  0.250  0.250  0.750

Properties
ΔH_f (0 K) = 1246 meV/atom

---

# 8
Computed, not measured: K3BaRe after structural relaxation at the PBE level of DFT.

Cell lengths 8.146, 8.146, 8.146 Å; angles 90.00, 90.00, 90.00 degrees
Space group Pm-3m (No. 221)
Asymmetric unit:
K  0.000  0.000  0.500
Ba  0.000  0.000  0.000
Re  0.500  0.500  0.500

Properties
E above lowest polymorph = 0.584 eV per atom
ΔH_f (0 K) = 1941 meV/atom

---

# 9
Computed, not measured: KBa3Re after structural relaxation at the PBE level of DFT.

Cell lengths 6.051, 6.051, 6.051 Å; angles 90.00, 90.00, 90.00 degrees
Space group Pm-3m (No. 221)
Asymmetric unit:
K  0.000  0.000  0.000
Ba  0.000  0.000  0.500
Re  0.500  0.500  0.500

Properties
E above lowest polymorph = 1.368 eV per atom
ΔH_f (0 K) = 2009 meV/atom

---

# 10
Computed, not measured: KBaRe4 after structural relaxation at the PBE level of DFT.

Cell lengths 7.896, 7.896, 7.896 Å; angles 90.00, 90.00, 90.00 degrees
Space group F-43m (No. 216)
Asymmetric unit:
K  0.000  0.000  0.000
Ba  0.250  0.250  0.250
Re  0.125  0.125  0.625

Properties
ΔH_f (0 K) = 1151 meV/atom

---

# 11
Computed, not measured: KBa3Re after structural relaxation at the PBE level of DFT.

Cell lengths 6.254, 6.254, 6.254 Å; angles 90.00, 90.00, 90.00 degrees
Space group Pm-3m (No. 221)
Asymmetric unit:
K  0.000  0.000  0.000
Ba  0.000  0.500  0.500
Re  0.500  0.500  0.500

Properties
E above lowest polymorph = 0.000 eV per atom
ΔH_f (0 K) = 641 meV/atom

---

# 12
Computed, not measured: KBaRe2Ru after structural relaxation at the PBE level of DFT.

Cell lengths 4.705, 4.705, 5.377 Å; angles 90.00, 90.00, 90.00 degrees
Space group P4/mmm (No. 123)
Asymmetric unit:
K  0.000  0.000  0.000
Ba  0.000  0.000  0.500
Re  0.000  0.500  0.000
Ru  0.500  0.500  0.500

Properties
ΔH_f (0 K) = 3386 meV/atom

---

# 13
Computed, not measured: KBa3Rh after structural relaxation at the PBE level of DFT.

Cell lengths 6.305, 6.305, 6.305 Å; angles 90.00, 90.00, 90.00 degrees
Space group Pm-3m (No. 221)
Asymmetric unit:
K  0.000  0.000  0.000
Ba  0.000  0.500  0.500
Rh  0.500  0.500  0.500

Properties
E above lowest polymorph = 0.009 eV per atom
ΔH_f (0 K) = -94 meV/atom